A geometry-optimized PmCuSi structure. Source: Alexandria via LeMat-Bulk, functional PBE.

Summary:
Raw formation energy in eV/atom: -0.634
Energy in Ry per atom: -0.39622
DOS(E_F) in states/eV/atom: 0.33
Polymorph energy (0 for the lowest one) in kJ per mole of atoms: 0.0

Lattice parameters (Å, degrees): 4.208 4.208 7.807 90.00 90.00 120.00
Fractional positions:
Pm1 0.000 0.000 0.000
Pm2 0.000 0.000 0.500
Cu1 0.333 0.667 0.250
Cu2 0.667 0.333 0.750
Si1 0.333 0.667 0.750
Si2 0.667 0.333 0.250

A geometry-optimized Ba2SnPdI structure. Source: Alexandria via LeMat-Bulk, functional PBE.

Summary:
Raw formation energy in eV/atom: -0.832
Energy in Ry per atom: -0.27566
DOS(E_F) in states/eV/atom: 0.60

Lattice parameters (Å, degrees): 6.381 6.381 5.021 90.00 90.00 90.00
Fractional positions:
Ba1 0.000 0.500 0.000
Ba2 0.500 0.000 0.000
Sn1 0.000 0.000 0.500
Pd1 0.000 0.000 0.000
I1 0.500 0.500 0.500

A geometry-optimized CdRh2Pb structure. Source: Alexandria via LeMat-Bulk, functional PBE.

Summary:
ΔE_f in eV/atom: 0.094
Energy in Ry per atom: -0.34820
DOS(E_F) in states/eV/atom: 0.89

Lattice parameters (Å, degrees): 5.785 5.785 5.785 148.21 133.38 57.53
Fractional positions:
Cd1 0.000 0.000 0.000
Rh1 0.506 0.506 0.000
Rh2 0.745 0.245 0.500
Pb1 0.276 0.776 0.500

A geometry-optimized Ca2PaPdO6 structure. Source: Alexandria via LeMat-Bulk, functional PBE.

Summary:
Raw formation energy in eV/atom: -2.349
Energy in Ry per atom: -0.52871
DOS(E_F) in states/eV/atom: 0.19

Lattice parameters (Å, degrees): 5.765 5.765 4.566 90.00 90.00 90.00
Fractional positions:
Ca1 0.000 0.500 0.000
Ca2 0.500 0.000 0.000
Pa1 0.000 0.000 0.601
Pd1 0.500 0.500 0.658
O1 0.000 0.000 0.124
O2 0.253 0.253 0.684
O3 0.253 0.747 0.684
O4 0.500 0.500 0.156
O5 0.747 0.253 0.684
O6 0.747 0.747 0.684

A geometry-optimized LiPrEr structure. Source: Alexandria via LeMat-Bulk, functional PBE.

Summary:
ΔE_f in eV/atom: 0.109
Energy in Ry per atom: -0.26773
DOS(E_F) in states/eV/atom: 1.12
Polymorph energy (0 for the lowest one) in kJ per mole of atoms: 2.7

Lattice parameters (Å, degrees): 3.528 3.528 8.402 90.00 90.00 120.00
Fractional positions:
Li1 0.000 0.000 0.000
Pr1 0.333 0.667 0.663
Er1 0.667 0.333 0.320

A geometry-optimized CsTa2AlF structure. Source: Alexandria via LeMat-Bulk, functional PBE.

Summary:
Raw formation energy in eV/atom: 2.040
Energy in Ry per atom: -0.29357
DOS(E_F) in states/eV/atom: 0.95

Lattice parameters (Å, degrees): 5.221 5.221 4.517 90.00 90.00 90.00
Fractional positions:
Cs1 0.000 0.000 0.000
Ta1 0.000 0.500 0.000
Ta2 0.500 0.000 0.000
Al1 0.500 0.500 0.500
F1 0.000 0.000 0.500

Q: Look up the energy of the third one.
A: -0.34820 Ry per atom